Compound: In2GeTeC
Source: the Alexandria database
Functional: GGA-PBE
Structure: optimized geometry

The structure in POSCAR format:
```
In2GeTeC
1.0
5.982 0.000 0.000
0.000 4.071 0.000
0.000 0.000 5.982
Ge Te C In
1 1 1 2
Cartesian
2.991 2.036 2.991 Ge
0.000 0.000 0.000 Te
0.000 2.036 0.000 C
0.000 0.000 2.991 In
2.991 0.000 0.000 In
```

* V: 145.71 Å³ per cell
* space-group type: No. 123

---

Compound: TbEr2Mg8
Source: the Alexandria database
Functional: GGA-PBE
Structure: optimized geometry

The structure in POSCAR format:
```
TbEr2Mg8
1.0
-2.377 4.373 -1.816
-6.827 -2.522 2.863
5.934 2.297 5.492
Tb Er Mg
1 2 8
Cartesian
-1.188 2.186 -0.908 Tb
-2.846 0.111 3.992 Er
-0.423 4.037 2.547 Er
-5.536 1.318 2.692 Mg
-0.322 1.874 4.933 Mg
0.408 0.988 1.843 Mg
-2.010 -0.743 0.843 Mg
-3.678 3.160 4.696 Mg
-2.947 2.274 1.606 Mg
2.267 2.830 3.848 Mg
-1.259 4.891 5.696 Mg
```

* V: 288.11 Å³ per cell
* space-group type: No. 71

---

Compound: As2PtAu
Source: the Alexandria database
Functional: GGA-PBE
Structure: optimized geometry

The structure in POSCAR format:
```
As2PtAu
1.0
3.064 0.000 0.000
0.000 4.111 0.000
0.000 0.000 5.753
As Au Pt
2 1 1
Cartesian
0.000 0.000 5.405 As
1.532 2.055 1.654 As
0.000 0.000 2.719 Au
1.532 2.055 4.605 Pt
```

* V: 72.47 Å³ per cell
* space-group type: No. 25

---

Compound: CdMoSe2
Source: the Alexandria database
Functional: GGA-PBE
Structure: optimized geometry

The structure in POSCAR format:
```
CdMoSe2
1.0
3.009 0.009 0.000
-1.338 2.695 0.000
0.000 0.000 10.650
Cd Mo Se
1 1 2
Cartesian
0.835 1.352 2.663 Cd
0.835 1.352 7.988 Mo
0.000 0.000 10.020 Se
0.000 0.000 5.956 Se
```

* V: 86.49 Å³ per cell
* space-group type: No. 65

---

Compound: EuMgPb
Source: the Alexandria database
Functional: GGA-PBE
Structure: optimized geometry

The structure in POSCAR format:
```
EuMgPb
1.0
5.212 0.000 0.000
2.606 4.514 0.000
2.606 1.505 4.256
Pb Eu Mg
1 1 1
Cartesian
2.606 1.505 1.064 Pb
5.212 3.009 2.128 Eu
0.000 0.000 0.000 Mg
```

* V: 100.12 Å³ per cell
* space-group type: No. 216

---

Compound: MgBiAu
Source: the Alexandria database
Functional: GGA-PBE
Structure: optimized geometry

The structure in POSCAR format:
```
MgBiAu
1.0
7.628 0.000 0.000
0.000 4.529 0.000
0.000 0.000 8.467
Mg Au Bi
4 4 4
Cartesian
7.251 1.132 6.189 Mg
4.190 3.396 1.956 Mg
0.376 3.396 2.277 Mg
3.438 1.132 6.511 Mg
6.881 1.132 3.443 Au
4.560 3.396 7.677 Au
0.747 3.396 5.023 Au
3.067 1.132 0.790 Au
2.370 1.132 3.698 Bi
1.444 3.396 7.932 Bi
5.258 3.396 4.768 Bi
6.184 1.132 0.535 Bi
```

* V: 292.46 Å³ per cell
* space-group type: No. 62

---

Compound: Na3CaPb3
Source: the Alexandria database
Functional: GGA-PBE
Structure: optimized geometry

The structure in POSCAR format:
```
Na3CaPb3
1.0
-1.861 -7.925 -1.302
4.485 -2.134 6.580
-6.662 0.777 4.793
Pb Na Ca
6 6 2
Cartesian
-3.796 -1.593 2.071 Pb
0.577 -0.873 4.488 Pb
2.433 -5.563 4.284 Pb
-4.727 -5.555 1.420 Pb
-2.754 -0.484 6.885 Pb
0.191 -4.496 0.994 Pb
-2.210 -0.145 4.041 Na
0.032 -1.212 7.331 Na
-5.927 -3.379 2.944 Na
0.846 -7.011 2.313 Na
-2.596 -3.768 0.547 Na
1.777 -3.048 2.964 Na
-2.019 -4.641 5.035 Ca
0.000 0.000 0.000 Ca
```

* V: 560.25 Å³ per cell
* space-group type: No. 223

---

Compound: LaMgCo2
Source: the Alexandria database
Functional: GGA-PBE
Structure: optimized geometry

The structure in POSCAR format:
```
LaMgCo2
1.0
5.471 0.013 0.019
4.581 2.992 0.019
1.476 0.441 4.469
Co La Mg
2 1 1
Cartesian
11.214 3.351 4.420 Co
3.317 0.991 1.094 Co
5.821 1.740 2.094 La
8.469 2.531 3.660 Mg
```

* V: 72.80 Å³ per cell
* space-group type: No. 8

---

Compound: AcPm2Ag
Source: the Alexandria database
Functional: GGA-PBE
Structure: optimized geometry

The structure in POSCAR format:
```
AcPm2Ag
1.0
6.654 0.000 0.000
0.000 7.200 0.000
0.000 0.000 11.050
Ac Pm Ag
4 8 4
Cartesian
4.169 3.687 2.762 Ac
5.813 0.087 2.762 Ac
2.486 3.513 8.287 Ac
0.841 7.114 8.287 Ac
1.095 4.941 0.443 Pm
2.232 1.341 5.081 Pm
5.559 2.259 5.968 Pm
4.422 5.859 10.606 Pm
5.559 2.259 10.606 Pm
4.422 5.859 5.968 Pm
1.095 4.941 5.081 Pm
2.232 1.341 0.443 Pm
0.726 2.883 2.762 Ag
2.601 6.483 2.762 Ag
5.928 4.317 8.287 Ag
4.054 0.717 8.287 Ag
```

* V: 529.40 Å³ per cell
* space-group type: No. 62

---

Compound: NdDy2Ho4Th
Source: the Alexandria database
Functional: GGA-PBE
Structure: optimized geometry

The structure in POSCAR format:
```
NdDy2Ho4Th
1.0
-4.299 1.593 2.138
-2.592 -1.594 -4.024
-3.763 -10.526 0.278
Nd Dy Ho Th
1 2 4 1
Cartesian
-3.446 -0.001 -0.943 Nd
-3.763 -10.526 0.277 Dy
-4.031 -4.467 1.208 Dy
-4.760 -9.055 -2.825 Ho
-5.893 -1.472 1.217 Ho
-5.039 -3.070 -1.860 Ho
-5.614 -7.457 0.252 Ho
-3.177 -6.060 -1.873 Th
```

* V: 254.77 Å³ per cell
* space-group type: No. 47

---

Compound: CaTmZnSn
Source: the Alexandria database
Functional: GGA-PBE
Structure: optimized geometry

The structure in POSCAR format:
```
CaTmZnSn
1.0
-2.780 4.327 -0.883
-4.742 0.531 2.113
-0.771 3.437 3.851
Zn Tm Sn Ca
1 1 1 1
Cartesian
-6.220 6.221 3.811 Zn
0.000 0.000 0.000 Tm
-2.073 2.074 1.270 Sn
-4.147 4.147 2.541 Ca
```

* V: 100.50 Å³ per cell
* space-group type: No. 216

---

Compound: Pu2HfAl9
Source: the Alexandria database
Functional: GGA-PBE
Structure: optimized geometry

The structure in POSCAR format:
```
Pu2HfAl9
1.0
-2.601 -1.293 4.539
-5.163 -1.533 -0.196
-0.039 -9.402 0.499
Pu Hf Al
2 1 9
Cartesian
-6.654 -6.510 3.930 Pu
-1.149 -5.719 0.912 Pu
0.000 0.000 0.000 Hf
-5.170 -1.903 2.893 Al
-2.633 -10.325 1.948 Al
-3.902 -6.114 2.421 Al
-3.241 -3.493 1.930 Al
-4.555 -4.146 4.224 Al
-5.849 -4.267 1.831 Al
-4.563 -8.736 2.912 Al
-1.954 -7.961 3.011 Al
-3.249 -8.083 0.618 Al
```

* V: 223.53 Å³ per cell
* space-group type: No. 166

---

Final energy per entry: -15.7 -25.8 -18.3 -18.1 -16.6 -37.2 -28.5 -20.0 -67.3 -39.5 -13.5 -74.4 eV/cell
D(E_F) per entry: 3.1 8.4 1.1 3.0 13.4 1.0 3.4 5.1 4.4 11.4 3.0 14.4 states/eV/f.u.